# 1
This record from the Alexandria database describes a crystal of NaVO2 relaxed with PBEsol. The functional is meta-GGA SCAN.

Electronic total energy ... -10.8282 eV/atom
Formation energy without anion corrections ... -2.287 eV/atom
Magnetization ... 2.00 μB per formula unit

a b c (Å): 2.8158 2.8158 5.6862
angles (deg): 90.00 90.00 120.00
Fractional coordinates of all 4 atoms:
1 Na 0.0000 0.0000 0.0000
2 V 0.0000 0.0000 0.5000
3 O 0.3333 0.6667 0.2921
4 O 0.6667 0.3333 0.7079

***

# 2
This record from the Alexandria database describes a crystal of Na3VO3 relaxed with PBEsol. The functional is meta-GGA SCAN.

Distance to the lowest polymorph of the same formula ... 0.00 eV/f.u.
Electronic total energy ... -8.9105 eV/atom
Formation energy without anion corrections ... -1.935 eV/atom
Magnetization ... 1.33 μB per formula unit

a b c (Å): 5.7235 5.8461 6.3459
angles (deg): 113.41 90.21 94.55
Fractional coordinates of all 14 atoms:
1 Na 0.0645 0.2329 0.4490
2 Na 0.1529 0.2414 0.9758
3 Na 0.4234 0.7193 0.7555
4 Na 0.5766 0.2807 0.2445
5 Na 0.8471 0.7586 0.0242
6 Na 0.9355 0.7671 0.5510
7 V 0.3751 0.8037 0.2998
8 V 0.6249 0.1963 0.7002
9 O 0.2366 0.9159 0.1171
10 O 0.2470 0.5377 0.3503
11 O 0.3152 0.0416 0.6140
12 O 0.6848 0.9584 0.3860
13 O 0.7530 0.4623 0.6497
14 O 0.7634 0.0841 0.8829

***

# 3
This record from the Alexandria database describes a crystal of NaV2O5 relaxed with PBEsol. The functional is meta-GGA SCAN.

Distance to the lowest polymorph of the same formula ... 0.34 eV/f.u.
Electronic total energy ... -11.3255 eV/atom
Formation energy without anion corrections ... -2.532 eV/atom
Magnetization ... 1.00 μB per formula unit

a b c (Å): 5.8285 5.8285 11.2432
angles (deg): 90.00 90.00 143.96
Fractional coordinates of all 16 atoms:
1 Na 0.0938 0.9062 0.7500
2 Na 0.9062 0.0938 0.2500
3 V 0.2060 0.7940 0.0999
4 V 0.2060 0.7940 0.4001
5 V 0.7940 0.2060 0.5999
6 V 0.7940 0.2060 0.9001
7 O 0.0622 0.9378 0.1166
8 O 0.0622 0.9378 0.3834
9 O 0.2417 0.7583 0.5714
10 O 0.2417 0.7583 0.9286
11 O 0.2691 0.7309 0.2500
12 O 0.7309 0.2691 0.7500
13 O 0.7583 0.2417 0.0714
14 O 0.7583 0.2417 0.4286
15 O 0.9378 0.0622 0.6166
16 O 0.9378 0.0622 0.8834

***

Q: Which of these has the highest electronic total energy?
A: Na3VO3